No. 1
Here is a relaxed structure of Pa2NbTc from Alexandria. Energies are from PBE-GGA.

The structure belongs to space group Fm-3m (No. 225); the cell edges are 6.9782, 6.9782 and 6.9782 Å and the angles 90.00°, 90.00° and 90.00°. Symmetry generates all atoms from Pa at (0.2500, 0.2500, 0.2500), Nb at (0.0000, 0.0000, 0.0000) and Tc at (0.0000, 0.0000, 0.5000).

The energy relative to the elements is 0.08 eV/atom. The calculation puts the density of states at the Fermi level at 6.54 states/eV/f.u.

No. 2
Here is a relaxed structure of SeIBr2 from Alexandria. Energies are from PBE-GGA.

The structure belongs to space group I4_1/amd (No. 141, origin choice 2); the cell edges are 8.3349, 8.3349 and 12.0576 Å and the angles 90.00°, 90.00° and 90.00°. Symmetry generates all atoms from Se at (0.0000, 0.2500, 0.3750), I at (0.0000, 0.2500, 0.8750) and Br at (0.0000, 0.0000, 0.5000).

The calculation puts the density of states at the Fermi level at 3.45 states/eV/f.u. Its formation energy (no corrections) is 1.04 eV per formula unit.

No. 3
Here is a relaxed structure of ErTl3Te3 from Alexandria. Energies are from PBE-GGA.

The structure belongs to space group P2_1/m (No. 11); the cell edges are 9.5037, 4.4920 and 13.0628 Å and the angles 90.00°, 90.37° and 90.00°. Symmetry generates all atoms from Er at (0.1193, 0.2500, 0.1213), Tl at (0.1309, 0.2500, 0.6273), Tl at (0.3548, 0.7500, 0.3629), Tl at (0.3776, 0.7500, 0.8693), Te at (0.1040, 0.2500, 0.8853), Te at (0.1124, 0.2500, 0.3565) and Te at (0.3426, 0.7500, 0.1168).

Its formation energy (no corrections) is -4.94 eV per formula unit.

No. 4
Here is a relaxed structure of BRuSeBr2 from Alexandria. Energies are from PBE-GGA.

The structure belongs to space group P4/mmm (No. 123); the cell edges are 5.2510, 5.2510 and 4.6266 Å and the angles 90.00°, 90.00° and 90.00°. Symmetry generates all atoms from B at (0.0000, 0.0000, 0.0000), Ru at (0.5000, 0.5000, 0.5000), Se at (0.5000, 0.5000, 0.0000) and Br at (0.0000, 0.5000, 0.5000).

The calculation puts the density of states at the Fermi level at 2.87 states/eV/f.u. Its formation energy (no corrections) is 5.30 eV per formula unit.

No. 5
Here is a relaxed structure of Ce4ThSc from Alexandria. Energies are from PBE-GGA.

The structure belongs to space group F-43m (No. 216); the cell edges are 8.7310, 8.7310 and 8.7310 Å and the angles 90.00°, 90.00° and 90.00°. Symmetry generates all atoms from Ce at (0.1242, 0.1242, 0.3758), Th at (0.0000, 0.0000, 0.0000) and Sc at (0.2500, 0.2500, 0.7500).

The energy relative to the elements is 0.22 eV/atom. The calculation puts the density of states at the Fermi level at 19.12 states/eV/f.u.

No. 6
Here is a relaxed structure of Na3Cr2SbTe6 from Alexandria. Energies are from PBE-GGA.

The structure belongs to space group C2/m (No. 12); the cell edges are 7.2388, 12.5531 and 7.9059 Å and the angles 90.00°, 107.97° and 90.00°. Symmetry generates all atoms from Na at (0.0000, 0.0000, 0.0000), Na at (0.0000, 0.3443, 0.0000), Cr at (0.0000, 0.1676, 0.5000), Sb at (0.0000, 0.5000, 0.5000), Te at (0.2085, 0.0000, 0.7064) and Te at (0.2496, 0.1805, 0.2921).

The calculation puts the density of states at the Fermi level at 0.06 states/eV/f.u. Its formation energy (no corrections) is -5.64 eV per formula unit.

No. 7
Here is a relaxed structure of MgAgSbRh from Alexandria. Energies are from PBE-GGA.

The structure belongs to space group F-43m (No. 216); the cell edges are 6.6033, 6.6033 and 6.6033 Å and the angles 90.00°, 90.00° and 90.00°. Symmetry generates all atoms from Mg at (0.0000, 0.0000, 0.0000), Ag at (0.2500, 0.2500, 0.7500), Sb at (0.0000, 0.0000, 0.5000) and Rh at (0.2500, 0.2500, 0.2500).

The calculation puts the density of states at the Fermi level at 2.48 states/eV/f.u. Its formation energy (no corrections) is -0.93 eV per formula unit.

No. 8
Here is a relaxed structure of LiYP2O from Alexandria. Energies are from PBE-GGA.

The structure belongs to space group P4/mmm (No. 123); the cell edges are 5.4664, 5.4664 and 4.2872 Å and the angles 90.00°, 90.00° and 90.00°. Symmetry generates all atoms from Li at (0.0000, 0.0000, 0.0000), Y at (0.5000, 0.5000, 0.5000), P at (0.0000, 0.5000, 0.5000) and O at (0.5000, 0.5000, 0.0000).

The calculation puts the density of states at the Fermi level at 3.77 states/eV/f.u. Its formation energy (no corrections) is -1.38 eV per formula unit.

No. 9
Here is a relaxed structure of Sr2La4Sn3Cl2 from Alexandria. Energies are from PBE-GGA.

The structure belongs to space group I4/mmm (No. 139); the cell edges are 5.5065, 5.5065 and 25.8392 Å and the angles 90.00°, 90.00° and 90.00°. Symmetry generates all atoms from Sr at (0.0000, 0.0000, 0.2070), La at (0.0000, 0.5000, 0.0814), Sn at (0.0000, 0.0000, 0.3370), Sn at (0.0000, 0.0000, 0.5000) and Cl at (0.0000, 0.0000, 0.0868).

The calculation puts the density of states at the Fermi level at 7.85 states/eV/f.u. Its formation energy (no corrections) is -10.54 eV per formula unit.

No. 10
Here is a relaxed structure of Tl2In3Sn from Alexandria. Energies are from PBE-GGA.

The structure belongs to space group Cmcm (No. 63); the cell edges are 14.0238, 8.2836 and 6.4968 Å and the angles 90.00°, 90.00° and 90.00°. Symmetry generates all atoms from Tl at (0.1764, 0.1613, 0.2500), In at (0.0000, 0.0000, 0.0000), In at (0.1492, 0.5000, 0.0000) and Sn at (0.0000, 0.3123, 0.7500).

The energy relative to the elements is 0.10 eV/atom. The calculation puts the density of states at the Fermi level at 3.41 states/eV/f.u.

No. 11
Here is a relaxed structure of AcCdInAg3 from Alexandria. Energies are from PBE-GGA.

The structure belongs to space group Cmcm (No. 63); the cell edges are 6.6582, 13.4120 and 6.8510 Å and the angles 90.00°, 90.00° and 90.00°. Symmetry generates all atoms from Ac at (0.0000, 0.1925, 0.2500), Cd at (0.0000, 0.4309, 0.2500), In at (0.0000, 0.1423, 0.7500), Ag at (0.0000, 0.3537, 0.7500) and Ag at (0.2094, 0.0000, 0.0000).

The energy relative to the elements is -0.08 eV/atom. The calculation puts the density of states at the Fermi level at 3.03 states/eV/f.u.

No. 12
Here is a relaxed structure of Li2La2Sn3 from Alexandria. Energies are from PBE-GGA.

The structure belongs to space group Cmcm (No. 63); the cell edges are 4.7913, 20.3216 and 7.4868 Å and the angles 90.00°, 90.00° and 90.00°. Symmetry generates all atoms from Li at (0.0000, 0.1938, 0.0635), La at (0.0000, 0.3406, 0.2500), La at (0.0000, 0.4505, 0.7500), Sn at (0.0000, 0.0672, 0.5570) and Sn at (0.0000, 0.2800, 0.7500).

The energy relative to the elements is -0.69 eV/atom. The calculation puts the density of states at the Fermi level at 1.37 states/eV/f.u.